[1]
VASP calculation (GGA-PBE) on a geometry-optimized LiGdHoCd structure.

Unit cell a=5.2731 b=5.2731 c=5.2731 alpha=60.00 beta=60.00 gamma=60.00
With the nearest neighbours (Å) after each atom.
Atoms (fractional coordinates):
Gd 0.0000 0.0000 0.0000  4 Li 3.23, 4 Cd 3.23
Li 0.2500 0.2500 0.2500  4 Ho 3.23, 4 Gd 3.23
Ho 0.5000 0.5000 0.5000  4 Cd 3.23, 4 Li 3.23
Cd 0.7500 0.7500 0.7500  4 Ho 3.23, 4 Gd 3.23

Results
**Space-group type**: F-43m, No. 216
**Volume**: 104 Å³/f.u.
**ΔE_f**: -123 meV per atom
**Size of the total moment**: 7.83 μB per formula unit



[2]
VASP calculation (GGA-PBE) on a geometry-optimized GdHoMnCd structure.

Unit cell a=5.1894 b=5.1894 c=5.1894 alpha=60.00 beta=60.00 gamma=60.00
With the nearest neighbours (Å) after each atom.
Atoms (fractional coordinates):
Gd 0.7500 0.7500 0.7500  4 Cd 3.18, 4 Mn 3.18
Ho 0.2500 0.2500 0.2500  4 Mn 3.18, 4 Cd 3.18
Mn 0.5000 0.5000 0.5000  4 Gd 3.18, 4 Ho 3.18
Cd 0.0000 0.0000 0.0000  4 Ho 3.18, 4 Gd 3.18

Results
**Space-group type**: F-43m, No. 216
**Volume**: 99 Å³/f.u.
**ΔE_f**: 9 meV per atom
**Size of the total moment**: 10.64 μB per formula unit



[3]
VASP calculation (GGA-PBE) on a geometry-optimized NaGdHoCd structure.

Unit cell a=5.4054 b=5.4054 c=5.4054 alpha=60.00 beta=60.00 gamma=60.00
With the nearest neighbours (Å) after each atom.
Atoms (fractional coordinates):
Na 0.2500 0.2500 0.2500  4 Gd 3.31, 4 Ho 3.31
Gd 0.0000 0.0000 0.0000  4 Cd 3.31, 4 Na 3.31
Ho 0.5000 0.5000 0.5000  4 Na 3.31, 4 Cd 3.31
Cd 0.7500 0.7500 0.7500  4 Ho 3.31, 4 Gd 3.31

Results
**Space-group type**: F-43m, No. 216
**Volume**: 112 Å³/f.u.
**ΔE_f**: 25 meV per atom
**Size of the total moment**: 7.98 μB per formula unit



[4]
VASP calculation (GGA-PBE) on a geometry-optimized GdHoCdNi structure.

Unit cell a=5.0699 b=5.0699 c=5.0699 alpha=60.00 beta=60.00 gamma=60.00
With the nearest neighbours (Å) after each atom.
Atoms (fractional coordinates):
Ni 0.5000 0.5000 0.5000  4 Gd 3.10, 4 Ho 3.10
Gd 0.7500 0.7500 0.7500  4 Ni 3.10, 4 Cd 3.10
Ho 0.2500 0.2500 0.2500  4 Cd 3.10, 4 Ni 3.10
Cd 0.0000 0.0000 0.0000  4 Gd 3.10, 4 Ho 3.10

Results
**Space-group type**: F-43m, No. 216
**Volume**: 92 Å³/f.u.
**ΔE_f**: -254 meV per atom
**Size of the total moment**: 7.12 μB per formula unit



[5]
VASP calculation (GGA-PBE) on a geometry-optimized GdHoCdOs structure.

Unit cell a=5.0278 b=5.0278 c=5.0278 alpha=60.00 beta=60.00 gamma=60.00
With the nearest neighbours (Å) after each atom.
Atoms (fractional coordinates):
Gd 0.0000 0.0000 0.0000  4 Os 3.08, 4 Cd 3.08
Os 0.7500 0.7500 0.7500  4 Gd 3.08, 4 Ho 3.08
Ho 0.5000 0.5000 0.5000  4 Os 3.08, 4 Cd 3.08
Cd 0.2500 0.2500 0.2500  4 Ho 3.08, 4 Gd 3.08

Results
**Space-group type**: F-43m, No. 216
**Volume**: 90 Å³/f.u.
**ΔE_f**: -193 meV per atom
**Size of the total moment**: 7.06 μB per formula unit



[6]
VASP calculation (GGA-PBE) on a geometry-optimized PrGdHoCd structure.

Unit cell a=5.5299 b=5.5299 c=5.5299 alpha=60.00 beta=60.00 gamma=60.00
With the nearest neighbours (Å) after each atom.
Atoms (fractional coordinates):
Pr 0.2500 0.2500 0.2500  4 Ho 3.39, 4 Cd 3.39
Gd 0.7500 0.7500 0.7500  4 Cd 3.39, 4 Ho 3.39
Ho 0.5000 0.5000 0.5000  4 Gd 3.39, 4 Pr 3.39
Cd 0.0000 0.0000 0.0000  4 Pr 3.39, 4 Gd 3.39

Results
**Space-group type**: F-43m, No. 216
**Volume**: 120 Å³/f.u.
**ΔE_f**: -45 meV per atom
**Size of the total moment**: 7.81 μB per formula unit



[7]
VASP calculation (GGA-PBE) on a geometry-optimized GdHoCdRu structure.

Unit cell a=5.0459 b=5.0459 c=5.0459 alpha=60.00 beta=60.00 gamma=60.00
With the nearest neighbours (Å) after each atom.
Atoms (fractional coordinates):
Ru 0.2500 0.2500 0.2500  4 Gd 3.09, 4 Ho 3.09
Gd 0.5000 0.5000 0.5000  4 Ru 3.09, 4 Cd 3.09
Ho 0.0000 0.0000 0.0000  4 Cd 3.09, 4 Ru 3.09
Cd 0.7500 0.7500 0.7500  4 Ho 3.09, 4 Gd 3.09

Results
**Space-group type**: F-43m, No. 216
**Volume**: 91 Å³/f.u.
**ΔE_f**: -276 meV per atom
**Size of the total moment**: 7.07 μB per formula unit



[8]
VASP calculation (GGA-PBE) on a geometry-optimized GdHoCdSi structure.

Unit cell a=5.1168 b=5.1168 c=5.1168 alpha=60.00 beta=60.00 gamma=60.00
With the nearest neighbours (Å) after each atom.
Atoms (fractional coordinates):
Si 0.2500 0.2500 0.2500  4 Gd 3.13, 4 Ho 3.13
Gd 0.0000 0.0000 0.0000  4 Si 3.13, 4 Cd 3.13
Ho 0.5000 0.5000 0.5000  4 Cd 3.13, 4 Si 3.13
Cd 0.7500 0.7500 0.7500  4 Ho 3.13, 4 Gd 3.13

Results
**Space-group type**: F-43m, No. 216
**ΔE_f (raw)**: -0.389 eV/atom
**Volume**: 95 Å³/f.u.
**Size of the total moment**: 7.31 μB per formula unit



[9]
VASP calculation (GGA-PBE) on a geometry-optimized GdHoCdSn structure.

Unit cell a=5.3035 b=5.3035 c=5.3035 alpha=60.00 beta=60.00 gamma=60.00
With the nearest neighbours (Å) after each atom.
Atoms (fractional coordinates):
Cd 0.7500 0.7500 0.7500  4 Gd 3.25, 4 Ho 3.25
Gd 0.0000 0.0000 0.0000  4 Cd 3.25, 4 Sn 3.25
Ho 0.5000 0.5000 0.5000  4 Cd 3.25, 4 Sn 3.25
Sn 0.2500 0.2500 0.2500  4 Gd 3.25, 4 Ho 3.25

Results
**Space-group type**: F-43m, No. 216
**Volume**: 105 Å³/f.u.
**ΔE_f**: -504 meV per atom
**Size of the total moment**: 7.49 μB per formula unit



[10]
VASP calculation (GGA-PBE) on a geometry-optimized TbGdHoCd structure.

Unit cell a=5.4562 b=5.4562 c=5.4562 alpha=60.00 beta=60.00 gamma=60.00
With the nearest neighbours (Å) after each atom.
Atoms (fractional coordinates):
Gd 0.0000 0.0000 0.0000  4 Cd 3.34, 4 Ho 3.34
Tb 0.5000 0.5000 0.5000  4 Ho 3.34, 4 Cd 3.34
Ho 0.7500 0.7500 0.7500  4 Gd 3.34, 4 Tb 3.34
Cd 0.2500 0.2500 0.2500  4 Tb 3.34, 4 Gd 3.34

Results
**Space-group type**: F-43m, No. 216
**Volume**: 115 Å³/f.u.
**ΔE_f**: -35 meV per atom
**Size of the total moment**: 7.76 μB per formula unit



[11]
VASP calculation (GGA-PBE) on a geometry-optimized GdHoThCd structure.

Unit cell a=5.4933 b=5.4933 c=5.4933 alpha=60.00 beta=60.00 gamma=60.00
With the nearest neighbours (Å) after each atom.
Atoms (fractional coordinates):
Gd 0.0000 0.0000 0.0000  4 Cd 3.36, 4 Th 3.36
Ho 0.5000 0.5000 0.5000  4 Cd 3.36, 4 Th 3.36
Th 0.2500 0.2500 0.2500  4 Gd 3.36, 4 Ho 3.36
Cd 0.7500 0.7500 0.7500  4 Ho 3.36, 4 Gd 3.36

Results
**Space-group type**: F-43m, No. 216
**Volume**: 117 Å³/f.u.
**ΔE_f**: 90 meV per atom
**Size of the total moment**: 8.63 μB per formula unit



[12]
VASP calculation (GGA-PBE) on a geometry-optimized GdHoTmCd structure.

Unit cell a=5.4257 b=5.4257 c=5.4257 alpha=60.00 beta=60.00 gamma=60.00
With the nearest neighbours (Å) after each atom.
Atoms (fractional coordinates):
Gd 0.0000 0.0000 0.0000  4 Cd 3.32, 4 Tm 3.32
Tm 0.7500 0.7500 0.7500  4 Ho 3.32, 4 Gd 3.32
Ho 0.5000 0.5000 0.5000  4 Tm 3.32, 4 Cd 3.32
Cd 0.2500 0.2500 0.2500  4 Ho 3.32, 4 Gd 3.32

Results
**Space-group type**: F-43m, No. 216
**Volume**: 113 Å³/f.u.
**ΔE_f**: -38 meV per atom
**Size of the total moment**: 7.71 μB per formula unit